Record 1
VASP calculation (GGA-PBE) on PuZn5Ag7 after structural relaxation.

Results
The value obtained for the formation energy is -56 meV per atom. The total energy comes out at -3.184 eV per atom. Its magnetization is 5.88 μB per formula unit. The value obtained for the density of states at the Fermi level is 1.508 states/eV/atom.

Cell: 7.1288 7.1288 7.1288 Å, 136.65 98.16 97.52°
Last column: nearest neighbours and their distance in Å.
Fractional coordinates of all 13 atoms:
1 Pu 0.0000 0.0000 0.0000  10 Ag 3.23-3.34, 10 Zn 3.34-3.58
2 Zn 0.0060 0.0035 0.5012  3 Zn 2.63-2.68, 7 Ag 2.70-2.87
3 Zn 0.0060 0.5048 0.0026  3 Zn 2.63-2.68, 7 Ag 2.70-2.87
4 Zn 0.2192 0.7192 0.5000  4 Zn 2.68, 4 Ag 2.81-2.88
5 Zn 0.5023 0.0035 0.9974  3 Zn 2.63-2.68, 7 Ag 2.70-2.87
6 Zn 0.5023 0.5048 0.4988  3 Zn 2.63-2.68, 7 Ag 2.70-2.87
7 Ag 0.2153 0.5055 0.7098  5 Zn 2.70-2.81, 4 Ag 2.87-3.03
8 Ag 0.3433 0.3433 0.0000  6 Zn 2.80-2.88, 3 Ag 2.88-3.11
9 Ag 0.3492 0.0013 0.3479  5 Zn 2.81-3.01, 4 Ag 2.84-3.00
10 Ag 0.6494 0.6494 0.0000  4 Zn 2.87, 5 Ag 2.88-3.03
11 Ag 0.6534 0.0013 0.6521  5 Zn 2.81-3.01, 4 Ag 2.84-3.00
12 Ag 0.7819 0.2819 0.5000  4 Zn 2.71, 6 Ag 2.87-3.00
13 Ag 0.7957 0.5055 0.2902  5 Zn 2.70-2.81, 4 Ag 2.87-3.03


Record 2
VASP calculation (GGA-PBE) on Pu2ZnAg after structural relaxation.

Results
The value obtained for the formation energy is 37 meV per atom. The total energy comes out at -8.160 eV per atom. As for the energy above the lowest structure with this stoichiometry: 0.00 eV per formula unit. Its magnetization is 11.71 μB per formula unit. The value obtained for the density of states at the Fermi level is 3.566 states/eV/atom.

Cell: 3.9040 3.9040 6.0297 Å, 90.00 90.00 90.00°
Last column: nearest neighbours and their distance in Å.
Fractional coordinates of all 4 atoms:
1 Pu 0.0000 0.0000 0.2456  2 Pu 2.96-3.07, 4 Zn 3.13, 4 Ag 3.16
2 Pu 0.0000 0.0000 0.7544  2 Pu 2.96-3.07, 4 Zn 3.13, 4 Ag 3.16
3 Zn 0.5000 0.5000 0.0000  2 Ag 3.01, 8 Pu 3.13
4 Ag 0.5000 0.5000 0.5000  2 Zn 3.01, 8 Pu 3.16


Record 3
VASP calculation (GGA-PBE) on Pu2ZnAg after structural relaxation.

Results
The value obtained for the formation energy is 52 meV per atom. The total energy comes out at -8.146 eV per atom. As for the energy above the lowest structure with this stoichiometry: 0.06 eV per formula unit. Its magnetization is 11.73 μB per formula unit. The value obtained for the density of states at the Fermi level is 3.567 states/eV/atom.

Cell: 5.5116 5.5116 3.0533 Å, 90.00 90.00 90.00°
Last column: nearest neighbours and their distance in Å.
Fractional coordinates of all 4 atoms:
1 Pu 0.0000 0.5000 0.0000  2 Pu 3.05, 4 Ag 3.15, 4 Zn 3.15
2 Pu 0.5000 0.0000 0.0000  2 Pu 3.05, 4 Ag 3.15, 4 Zn 3.15
3 Zn 0.0000 0.0000 0.5000  2 Zn 3.05, 8 Pu 3.15
4 Ag 0.5000 0.5000 0.5000  2 Ag 3.05, 8 Pu 3.15


Record 4
VASP calculation (GGA-PBE) on Pu2ZnAg after structural relaxation.

Results
The value obtained for the formation energy is 281 meV per atom. The total energy comes out at -7.917 eV per atom. As for the energy above the lowest structure with this stoichiometry: 0.97 eV per formula unit. Its magnetization is 9.81 μB per formula unit. The value obtained for the density of states at the Fermi level is 2.713 states/eV/atom.

Cell: 11.5133 11.5133 11.5133 Å, 14.61 14.61 14.61°
Last column: nearest neighbours and their distance in Å.
Fractional coordinates of all 4 atoms:
1 Pu 0.0900 0.0900 0.0900  6 Pu 2.93, 1 Ag 3.07, 3 Zn 3.12
2 Pu 0.9100 0.9100 0.9100  6 Pu 2.93, 1 Ag 3.07, 3 Zn 3.12
3 Zn 0.5000 0.5000 0.5000  6 Zn 2.93, 6 Pu 3.12
4 Ag 0.0000 0.0000 0.0000  6 Ag 2.93, 2 Pu 3.07


Record 5
VASP calculation (GGA-PBE) on PuZn2Ag after structural relaxation.

Results
The value obtained for the formation energy is -65 meV per atom. The total energy comes out at -4.998 eV per atom. Its magnetization is 5.67 μB per formula unit. The value obtained for the density of states at the Fermi level is 1.296 states/eV/atom.

Cell: 3.1317 3.1317 7.6714 Å, 90.00 90.00 90.00°
Last column: nearest neighbours and their distance in Å.
Fractional coordinates of all 4 atoms:
1 Pu 0.0000 0.0000 0.0000  8 Zn 3.11, 4 Pu 3.13
2 Zn 0.5000 0.5000 0.2853  4 Ag 2.76
3 Zn 0.5000 0.5000 0.7147  4 Ag 2.76
4 Ag 0.0000 0.0000 0.5000  8 Zn 2.76


Record 6
VASP calculation (GGA-PBE) on PuZnAg after structural relaxation.

Results
The value obtained for the formation energy is -104 meV per atom. The total energy comes out at -6.256 eV per atom. Its magnetization is 5.68 μB per formula unit. The value obtained for the density of states at the Fermi level is 2.581 states/eV/atom.

Cell: 4.8625 4.8625 2.9782 Å, 90.00 90.00 120.00°
Last column: nearest neighbours and their distance in Å.
Fractional coordinates of all 3 atoms:
1 Pu 0.0000 0.0000 0.0000  2 Pu 2.98, 6 Zn 3.18, 6 Ag 3.18
2 Zn 0.3333 0.6667 0.5000  3 Ag 2.81, 2 Zn 2.98
3 Ag 0.6667 0.3333 0.5000  3 Zn 2.81, 2 Ag 2.98


Record 7
VASP calculation (GGA-PBE) on PuZn2Ag after structural relaxation.

Results
The value obtained for the formation energy is 42 meV per atom. The total energy comes out at -4.891 eV per atom. Its magnetization is 4.93 μB per formula unit. The value obtained for the density of states at the Fermi level is 1.420 states/eV/atom.

Cell: 9.9321 9.9321 9.9321 Å, 16.97 16.97 16.97°
Last column: nearest neighbours and their distance in Å.
Fractional coordinates of all 4 atoms:
1 Pu 0.0000 0.0000 0.0000  6 Pu 2.93, 6 Zn 3.13
2 Zn 0.2437 0.2437 0.2437  3 Ag 2.82, 6 Zn 2.93, 3 Pu 3.13
3 Zn 0.7563 0.7563 0.7563  3 Ag 2.82, 6 Zn 2.93, 3 Pu 3.13
4 Ag 0.5000 0.5000 0.5000  6 Zn 2.82, 6 Ag 2.93


Record 8
VASP calculation (GGA-PBE) on PuZnAg after structural relaxation.

Results
The value obtained for the formation energy is 388 meV per atom. The total energy comes out at -5.764 eV per atom. Its magnetization is 6.13 μB per formula unit. The value obtained for the density of states at the Fermi level is 1.558 states/eV/atom.

Cell: 8.2981 8.2981 8.2981 Å, 160.22 160.22 28.12°
Last column: nearest neighbours and their distance in Å.
Fractional coordinates of all 3 atoms:
1 Pu 0.0000 0.0000 0.0000  4 Pu 2.85, 1 Zn 2.96, 1 Ag 3.06
2 Zn 0.8159 0.8159 0.0000  4 Zn 2.85, 4 Ag 2.86, 1 Pu 2.96
3 Ag 0.1902 0.1902 0.0000  4 Ag 2.85, 4 Zn 2.86, 1 Pu 3.06


Record 9
VASP calculation (GGA-PBE) on PuZn2Ag after structural relaxation.

Results
The value obtained for the formation energy is -69 meV per atom. The total energy comes out at -5.002 eV per atom. Its magnetization is 5.85 μB per formula unit. The value obtained for the density of states at the Fermi level is 2.865 states/eV/atom.

Cell: 5.6664 5.6664 6.6188 Å, 90.00 90.00 131.41°
Last column: nearest neighbours and their distance in Å.
Fractional coordinates of all 8 atoms:
1 Pu 0.0852 0.9148 0.7500  3 Ag 3.02-3.17, 6 Zn 3.12-3.30
2 Pu 0.9148 0.0852 0.2500  3 Ag 3.02-3.17, 6 Zn 3.12-3.30
3 Zn 0.3799 0.6201 0.5590  2 Zn 2.53-2.60, 3 Ag 2.71-2.80
4 Zn 0.3799 0.6201 0.9410  2 Zn 2.53-2.60, 3 Ag 2.71-2.80
5 Zn 0.6201 0.3799 0.0590  2 Zn 2.53-2.60, 3 Ag 2.71-2.80
6 Zn 0.6201 0.3799 0.4410  2 Zn 2.53-2.60, 3 Ag 2.71-2.80
7 Ag 0.2074 0.7926 0.2500  6 Zn 2.71-2.80, 1 Pu 3.02
8 Ag 0.7926 0.2074 0.7500  6 Zn 2.71-2.80, 1 Pu 3.02


Record 10
VASP calculation (GGA-PBE) on PuZn3Ag9 after structural relaxation.

Results
The value obtained for the formation energy is -25 meV per atom. The total energy comes out at -3.395 eV per atom. Its magnetization is 5.87 μB per formula unit. The value obtained for the density of states at the Fermi level is 1.629 states/eV/atom.

Cell: 7.2215 7.2215 7.1297 Å, 97.23 97.23 136.68°
Last column: nearest neighbours and their distance in Å.
Fractional coordinates of all 13 atoms:
1 Pu 0.0000 0.0000 0.0000  14 Ag 3.32-3.56, 6 Zn 3.61-3.65
2 Zn 0.0000 0.5000 0.0000  2 Zn 2.67, 8 Ag 2.71-2.84
3 Zn 0.5000 0.0000 0.0000  2 Zn 2.67, 8 Ag 2.71-2.84
4 Zn 0.5000 0.5000 0.5000  10 Ag 2.67-2.98
5 Ag 0.0000 0.0000 0.5000  2 Zn 2.67, 8 Ag 2.83-2.88
6 Ag 0.0189 0.6634 0.6562  3 Zn 2.83-2.98, 6 Ag 2.86-3.11
7 Ag 0.2970 0.5157 0.7858  3 Zn 2.69-2.73, 6 Ag 2.83-2.99
8 Ag 0.3366 0.9811 0.3438  3 Zn 2.83-2.98, 6 Ag 2.86-3.11
9 Ag 0.4843 0.7030 0.2142  3 Zn 2.69-2.73, 6 Ag 2.83-2.99
10 Ag 0.5157 0.2970 0.7858  3 Zn 2.69-2.73, 6 Ag 2.83-2.99
11 Ag 0.6634 0.0189 0.6562  3 Zn 2.83-2.98, 6 Ag 2.86-3.11
12 Ag 0.7030 0.4843 0.2142  3 Zn 2.69-2.73, 6 Ag 2.83-2.99
13 Ag 0.9811 0.3366 0.3438  3 Zn 2.83-2.98, 6 Ag 2.86-3.11


Record 11
VASP calculation (GGA-PBE) on Pu2Zn15Ag2 after structural relaxation.

Results
The value obtained for the formation energy is -131 meV per atom. The total energy comes out at -2.946 eV per atom. Its magnetization is 11.16 μB per formula unit. The value obtained for the density of states at the Fermi level is 1.221 states/eV/atom.

Cell: 6.8669 6.8669 6.8669 Å, 82.82 82.82 82.82°
Last column: nearest neighbours and their distance in Å.
Fractional coordinates of all 19 atoms:
1 Pu 0.1555 0.1555 0.1555  1 Ag 3.16, 18 Zn 3.17-3.53
2 Pu 0.8445 0.8445 0.8445  1 Ag 3.16, 18 Zn 3.17-3.53
3 Zn 0.0000 0.5000 0.5000  8 Zn 2.61-2.66, 2 Ag 2.74
4 Zn 0.1477 0.1477 0.6591  8 Zn 2.59-2.79, 1 Ag 2.86
5 Zn 0.1477 0.6591 0.1477  8 Zn 2.59-2.79, 1 Ag 2.86
6 Zn 0.2036 0.5000 0.7964  8 Zn 2.61-2.79
7 Zn 0.2036 0.7964 0.5000  8 Zn 2.61-2.79
8 Zn 0.3409 0.8523 0.8523  8 Zn 2.59-2.79, 1 Ag 2.86
9 Zn 0.5000 0.0000 0.5000  8 Zn 2.61-2.66, 2 Ag 2.74
10 Zn 0.5000 0.2036 0.7964  8 Zn 2.61-2.79
11 Zn 0.5000 0.5000 0.0000  8 Zn 2.61-2.66, 2 Ag 2.74
12 Zn 0.5000 0.7964 0.2036  8 Zn 2.61-2.79
13 Zn 0.6591 0.1477 0.1477  8 Zn 2.59-2.79, 1 Ag 2.86
14 Zn 0.7964 0.2036 0.5000  8 Zn 2.61-2.79
15 Zn 0.7964 0.5000 0.2036  8 Zn 2.61-2.79
16 Zn 0.8523 0.3409 0.8523  8 Zn 2.59-2.79, 1 Ag 2.86
17 Zn 0.8523 0.8523 0.3409  8 Zn 2.59-2.79, 1 Ag 2.86
18 Ag 0.3931 0.3931 0.3931  12 Zn 2.74-3.05, 1 Ag 2.84
19 Ag 0.6069 0.6069 0.6069  12 Zn 2.74-3.05, 1 Ag 2.84


Record 12
VASP calculation (GGA-PBE) on PuZn11Ag after structural relaxation.

Results
The value obtained for the formation energy is -86 meV per atom. The total energy comes out at -2.485 eV per atom. Its magnetization is 5.64 μB per formula unit. The value obtained for the density of states at the Fermi level is 0.961 states/eV/atom.

Cell: 6.8753 6.8753 6.8798 Å, 98.28 98.28 135.08°
Last column: nearest neighbours and their distance in Å.
Fractional coordinates of all 13 atoms:
1 Pu 0.0000 0.0000 0.0000  18 Zn 3.19-3.45, 2 Ag 3.44
2 Zn 0.0000 0.5000 0.0000  10 Zn 2.59-2.77
3 Zn 0.0014 0.3583 0.3520  7 Zn 2.62-2.90, 1 Ag 2.79
4 Zn 0.2901 0.5086 0.7863  7 Zn 2.59-2.85, 1 Ag 2.66
5 Zn 0.3583 0.0014 0.3520  7 Zn 2.62-2.90, 1 Ag 2.79
6 Zn 0.4914 0.7099 0.2137  7 Zn 2.59-2.85, 1 Ag 2.66
7 Zn 0.5000 0.0000 0.0000  10 Zn 2.59-2.77
8 Zn 0.5000 0.5000 0.5000  8 Zn 2.62-2.78, 2 Ag 2.63
9 Zn 0.5086 0.2901 0.7863  7 Zn 2.59-2.85, 1 Ag 2.66
10 Zn 0.6417 0.9986 0.6480  7 Zn 2.62-2.90, 1 Ag 2.79
11 Zn 0.7099 0.4914 0.2137  7 Zn 2.59-2.85, 1 Ag 2.66
12 Zn 0.9986 0.6417 0.6480  7 Zn 2.62-2.90, 1 Ag 2.79
13 Ag 0.0000 0.0000 0.5000  10 Zn 2.63-2.79